DFT (PBE-GGA) results for a relaxed structure of TlInW2.

Unit cell a=5.6212 b=5.6212 c=5.6212 alpha=146.44 beta=128.45 gamma=62.93
Atoms (fractional coordinates):
In (0.7500, 0.2500, 0.5000)
Tl (0.2500, 0.7500, 0.5000)
W (0.9995, 0.9995, 0.0000)
W (0.5005, 0.5005, 0.0000)

The value obtained for the energy of formation is 0.94 eV per atom. The value obtained for the total magnetization is 0.0 μB per formula unit. As for the energy above the most stable polymorph in this dataset: 406 meV/atom. The electronic total energy comes out at -0.5011 Ry/atom.